Run 1
Density functional theory data (GGA-PBE) for a relaxed structure of Y2ErTm3.

a = 6.0914 Å, b = 7.0413 Å, c = 9.3133 Å
α = 112.21°, β = 90.00°, γ = 90.00°
Atoms (fractional coordinates):
1 Y 0.5845 0.5410 0.3330
2 Y 0.0845 0.7919 0.3330
3 Y 0.9155 0.2081 0.6670
4 Y 0.4155 0.4590 0.6670
5 Er 0.7500 0.1242 0.0000
6 Er 0.2500 0.8758 0.0000
7 Tm 0.2500 0.3744 0.0000
8 Tm 0.7500 0.6256 0.0000
9 Tm 0.0824 0.2906 0.3319
10 Tm 0.4176 0.9587 0.6681
11 Tm 0.5824 0.0413 0.3319
12 Tm 0.9176 0.7094 0.6681

space group = C2/c, No. 15
total magnetic moment = 0.00 μB/f.u.
density of states at the Fermi level = 1.53 states/eV/atom

Run 2
Density functional theory data (GGA-PBE) for a relaxed structure of Y2ErTm3.

a = 11.3717 Å, b = 6.1322 Å, c = 6.1322 Å
α = 120.01°, β = 90.00°, γ = 90.00°
Atoms (fractional coordinates):
1 Y 0.7196 0.1668 0.5003
2 Y 0.2196 0.4997 0.8332
3 Y 0.2196 0.8332 0.4997
4 Y 0.7196 0.5003 0.1668
5 Er 0.7197 0.8335 0.8335
6 Er 0.2197 0.1665 0.1665
7 Tm 0.4696 0.1660 0.8343
8 Tm 0.9696 0.1657 0.8340
9 Tm 0.4696 0.5001 0.5001
10 Tm 0.9696 0.4999 0.4999
11 Tm 0.9696 0.8340 0.1657
12 Tm 0.4696 0.8343 0.1660

space group = Cmcm, No. 63
total magnetic moment = 0.00 μB/f.u.
density of states at the Fermi level = 1.47 states/eV/atom

The most stable of them is run 2.

Run 1
Density functional theory data (GGA-PBE) for a relaxed structure of Y5ErTm5.

a = 6.8150 Å, b = 9.4222 Å, c = 7.8426 Å
α = 114.57°, β = 54.88°, γ = 119.39°
Atoms (fractional coordinates):
1 Y 0.8452 0.6372 0.1465
2 Y 0.7651 0.6360 0.6842
3 Y 0.5000 0.0000 0.0000
4 Y 0.2349 0.3640 0.3158
5 Y 0.1548 0.3628 0.8535
6 Er 0.0000 0.0000 0.0000
7 Tm 0.6502 0.2737 0.3517
8 Tm 0.6496 0.2746 0.7732
9 Tm 0.0000 0.0000 0.5000
10 Tm 0.3504 0.7254 0.2268
11 Tm 0.3498 0.7263 0.6483

space group = P-1, No. 2
total magnetic moment = 0.00 μB/f.u.
density of states at the Fermi level = 1.56 states/eV/atom

Run 2
Density functional theory data (GGA-PBE) for a relaxed structure of Y5ErTm5.

a = 5.8738 Å, b = 9.8218 Å, c = 6.8954 Å
α = 110.31°, β = 90.00°, γ = 107.40°
Last column: magnetic moment on the atom in μB.
Atoms (fractional coordinates):
1 Y 0.8213 0.6426 0.0672  0.02
2 Y 0.8211 0.6422 0.5752  0.02
3 Y 0.5000 0.0000 0.0000  0.28
4 Y 0.1789 0.3578 0.4248  0.02
5 Y 0.1787 0.3574 0.9328  0.02
6 Er 0.0000 0.0000 0.0000  0.31
7 Tm 0.6680 0.3359 0.1691  0.07
8 Tm 0.6222 0.2444 0.6236  0.03
9 Tm 0.0000 0.0000 0.5000  0.04
10 Tm 0.3778 0.7556 0.3764  0.03
11 Tm 0.3320 0.6641 0.8309  0.07

space group = C2/m, No. 12
total magnetic moment = 1.09 μB/f.u.
density of states at the Fermi level = 1.60 states/eV/atom

The most stable of them is run 1.

Run 1
Density functional theory data (GGA-PBE) for a relaxed structure of Y12Er5Tm2.

a = 6.2517 Å, b = 12.0302 Å, c = 17.1752 Å
α = 151.23°, β = 102.79°, γ = 80.08°
Atoms (fractional coordinates):
1 Y 0.1652 0.1210 0.2933
2 Y 0.2647 0.5395 0.8974
3 Y 0.7550 0.7542 0.9631
4 Y 0.0861 0.5321 0.3729
5 Y 0.5408 0.7572 0.4282
6 Y 0.3091 0.0971 0.7624
7 Y 0.6909 0.9029 0.2376
8 Y 0.9139 0.4679 0.6271
9 Y 0.4592 0.2428 0.5718
10 Y 0.7353 0.4605 0.1026
11 Y 0.2450 0.2458 0.0369
12 Y 0.8348 0.8790 0.7067
13 Er 0.3708 0.6705 0.6640
14 Er 0.2127 0.6829 0.1728
15 Er 0.0000 0.0000 0.5000
16 Er 0.7873 0.3171 0.8272
17 Er 0.6292 0.3295 0.3360
18 Tm 0.7477 0.0698 0.0038
19 Tm 0.2523 0.9302 0.9962

space group = P-1, No. 2
total magnetic moment = 0.00 μB/f.u.
density of states at the Fermi level = 1.54 states/eV/atom

Run 2
Density functional theory data (GGA-PBE) for a relaxed structure of Y12Er5Tm2.

a = 9.2365 Å, b = 9.0631 Å, c = 8.5368 Å
α = 90.96°, β = 90.00°, γ = 120.63°
Atoms (fractional coordinates):
1 Y 0.9130 0.8261 0.1191
2 Y 0.0282 0.6937 0.7605
3 Y 0.6655 0.6937 0.7605
4 Y 0.1794 0.7455 0.3357
5 Y 0.5661 0.7455 0.3357
6 Y 0.4419 0.8837 0.6661
7 Y 0.5581 0.1163 0.3339
8 Y 0.8206 0.2545 0.6643
9 Y 0.4339 0.2545 0.6643
10 Y 0.9718 0.3063 0.2395
11 Y 0.3345 0.3063 0.2395
12 Y 0.0870 0.1739 0.8809
13 Er 0.2315 0.4630 0.5730
14 Er 0.3010 0.6020 0.9864
15 Er 0.0000 0.0000 0.5000
16 Er 0.6990 0.3980 0.0136
17 Er 0.7685 0.5370 0.4270
18 Tm 0.6745 0.0000 0.0000
19 Tm 0.3255 0.0000 0.0000

space group = C2/m, No. 12
total magnetic moment = 0.00 μB/f.u.
density of states at the Fermi level = 1.62 states/eV/atom

The most stable of them is run 1.